[1]
Below is MnCu2Pt at its PBEsol-relaxed geometry, with properties calculated at the SCAN level.

```
4
Lattice="-0.2205 2.4935 3.3371 -0.3597 -1.6483 3.8152 3.1998 0.2005 2.6690" Properties=species:S:1:pos:R:3 pbc="T T T"
Mn 0.0000 0.0000 0.0000
Cu 1.9647 0.7842 7.3660
Cu 0.6549 0.2614 2.4553
Pt 1.3098 0.5228 4.9106
```

## Properties
M_tot: 1.0618 μB/atom
Density: 12.2 g/cm³
Space group: No. 225
Energy relative to the elements: -0.31 eV per atom

[2]
Below is Na3CdGe at its PBEsol-relaxed geometry, with properties calculated at the SCAN level.

```
5
Lattice="5.5589 0.0000 0.0000 0.0000 5.5589 0.0000 0.0000 0.0000 5.5589" Properties=species:S:1:pos:R:3 pbc="T T T"
Ge 0.0000 0.0000 0.0000
Cd 2.7794 2.7794 2.7794
Na 0.0000 2.7794 0.0000
Na 2.7794 0.0000 0.0000
Na 0.0000 0.0000 2.7794
```

## Properties
M_tot: 0.2001 μB/atom
Density: 2.5 g/cm³
Space group: No. 221
Energy relative to the elements: 0.20 eV per atom

[3]
Below is Sr3Ca5 at its PBEsol-relaxed geometry, with properties calculated at the SCAN level.

```
8
Lattice="5.5742 0.0000 0.0000 0.0000 7.9880 -0.0064 0.0000 -0.0439 7.9879" Properties=species:S:1:pos:R:3 pbc="T T T"
Sr 0.0000 3.9721 3.9907
Sr 2.7871 1.9321 6.0212
Sr 2.7871 6.0121 1.9603
Ca 2.7871 1.9536 1.9628
Ca 2.7871 5.9905 6.0187
Ca 0.0000 -0.0219 3.9939
Ca 0.0000 0.0000 0.0000
Ca 0.0000 3.9940 -0.0032
```

## Properties
M_tot: 0.1481 μB/atom
Density: 2.2 g/cm³
Space group: No. 65
Energy relative to the elements: 0.02 eV per atom

[4]
Below is KIrOs2 at its PBEsol-relaxed geometry, with properties calculated at the SCAN level.

```
4
Lattice="-1.9856 -0.0235 1.8008 -2.4840 -0.6590 -2.7475 0.9796 -7.6340 0.9454" Properties=species:S:1:pos:R:3 pbc="T T T"
Ir -1.4173 -4.4462 2.3478
Os -1.4970 -6.1104 0.2433
Os 0.8862 -6.9439 0.8643
K -1.9783 -2.2904 -0.2378
```

## Properties
M_tot: 0.0000 μB/atom
Density: 13.0 g/cm³
Space group: No. 6
Relative energy among the computed polymorphs: 0.00 kcal/mol of atoms
Energy relative to the elements: 0.76 eV per atom

- Which of these has the highest M_tot?
  MnCu2Pt